Entry 1:
Computed, not measured: Hf4CdAu after structural relaxation at the GGA-PBE level of DFT.

Properties
Theoretical density: 13.31 Mg/m³
Final energy: -7.59 eV per atom
Formation energy from the elements: -0.25 eV per atom
Space group: No. 123

abc: 3.2434 3.2434 12.1378
angles: 90.00 90.00 90.00
Fractional coordinates of all 6 atoms:
Cd 0.0000 0.0000 0.0000
Au 0.5000 0.5000 0.5000
Hf 0.0000 0.0000 0.3429
Hf 0.0000 0.0000 0.6571
Hf 0.5000 0.5000 0.1742
Hf 0.5000 0.5000 0.8258


Entry 2:
Computed, not measured: CsSiSe3 after structural relaxation at the GGA-PBE level of DFT.

Properties
Formation energy without anion corrections: 1.44 eV/atom
Theoretical density: 3.39 Mg/m³
Final energy: -1.91 eV per atom
Space group: No. 221

abc: 5.7968 5.7968 5.7968
angles: 90.00 90.00 90.00
Fractional coordinates of all 5 atoms:
Si 0.5000 0.5000 0.5000
Se 0.5000 0.0000 0.0000
Se 0.0000 0.0000 0.5000
Se 0.0000 0.5000 0.0000
Cs 0.0000 0.0000 0.0000


Entry 3:
Computed, not measured: Mn2Pd4Au5 after structural relaxation at the GGA-PBE level of DFT.

Properties
Theoretical density: 13.08 Mg/m³
Final energy: -4.99 eV per atom
Formation energy from the elements: 0.05 eV per atom
Space group: No. 71

abc: 4.6376 6.9956 6.9956
angles: 68.07 70.64 70.64
Fractional coordinates of all 11 atoms:
Mn 0.8637 0.1363 0.1363
Pd 0.0000 0.7050 0.2950
Au 0.2627 0.0679 0.4066
Pd 0.3750 0.6250 0.6250
Au 0.7373 0.5934 0.9321
Au 0.2627 0.4066 0.0679
Pd 0.0000 0.2950 0.7050
Au 0.5000 0.0000 0.0000
Pd 0.6250 0.3750 0.3750
Mn 0.1363 0.8637 0.8637
Au 0.7373 0.9321 0.5934